[1]
A plane-wave DFT calculation with PBE-GGA was carried out for Ba2HgPdPb after structural relaxation.

POSCAR file:
```
Ba2HgPdPb
1.0
6.197 0.000 0.000
0.000 6.197 0.000
0.000 0.000 5.198
Pb Hg Pd Ba
1 1 1 2
direct
0.000 0.000 0.500 Pb
0.500 0.500 0.500 Hg
0.000 0.000 0.000 Pd
0.000 0.500 0.000 Ba
0.500 0.000 0.000 Ba
```

Distance to the lowest polymorph of the same formula = 0.000 eV/atom
Energy relative to the elements = -422 meV/atom
ρ = 6.6 g cm⁻³
Space group = P4/mmm

[2]
A plane-wave DFT calculation with PBE-GGA was carried out for Zn3In3Ir2Pd after structural relaxation.

POSCAR file:
```
Zn3In3Ir2Pd
1.0
3.102 0.000 0.000
0.000 7.624 0.000
0.000 -3.812 6.602
Zn In Ir Pd
3 3 2 1
direct
0.000 0.609 0.609 Zn
0.000 0.000 0.391 Zn
0.000 0.391 0.000 Zn
0.500 0.709 0.000 In
0.500 0.000 0.709 In
0.500 0.291 0.291 In
0.500 0.667 0.333 Ir
0.500 0.333 0.667 Ir
0.000 0.000 0.000 Pd
```

Energy relative to the elements = -111 meV/atom
ρ = 11.0 g cm⁻³
Space group = P-62m

[3]
A plane-wave DFT calculation with PBE-GGA was carried out for LiAc2Al3Zn4 after structural relaxation.

POSCAR file:
```
LiAc2Al3Zn4
1.0
-3.483 0.982 2.727
-1.954 -3.944 -1.076
4.982 -4.663 8.041
Li Ac Al Zn
1 2 3 4
direct
0.500 0.500 0.500 Li
0.500 0.000 0.243 Ac
0.000 0.500 0.757 Ac
0.000 0.000 0.500 Al
0.500 0.000 0.870 Al
0.000 0.500 0.130 Al
0.500 0.500 0.000 Zn
0.000 0.000 0.000 Zn
0.500 0.000 0.625 Zn
0.000 0.500 0.375 Zn
```

Energy relative to the elements = -330 meV/atom
ρ = 6.2 g cm⁻³
Space group = P-4m2

[4]
A plane-wave DFT calculation with PBE-GGA was carried out for TcRhN2 after structural relaxation.

POSCAR file:
```
TcRhN2
1.0
1.615 0.000 6.531
-0.808 1.399 6.531
-0.808 -1.399 6.531
Rh Tc N
1 1 2
direct
0.000 0.000 0.000 Rh
0.500 0.500 0.500 Tc
0.900 0.900 0.900 N
0.100 0.100 0.100 N
```

Distance to the lowest polymorph of the same formula = 0.000 eV/atom
ρ = 8.6 g cm⁻³
Raw formation energy = 212 meV per atom
Space group = R-3m

| no. | magnetic moment (μB per cell) |
| --- | --- |
| 1 | 0.00 |
| 2 | 0.00 |
| 3 | 0.00 |
| 4 | 0.00 |